1.
The following is a PBE calculation of SrLaZnAu after structural relaxation, from Alexandria via LeMat-Bulk.

Lattice parameters (Å, degrees): 3.8525 3.8525 7.5826 90.00 90.00 90.00
With the nearest neighbours (Å) after each atom.
Space group P4mm (No. 99)
Symmetry-distinct sites (fractional):
Sr  0.0000  0.0000  0.0000 x1  4 Zn 3.42, 4 Au 3.43, 2 La 3.75-3.83
La  0.0000  0.0000  0.4947 x1  4 Au 3.19, 4 Zn 3.24
Zn  0.5000  0.5000  0.7263 x1  4 La 3.24, 1 Au 3.42, 4 Sr 3.42
Au  0.5000  0.5000  0.2751 x1  4 La 3.19, 1 Zn 3.42, 4 Sr 3.43

Properties
Formation enthalpy at 0 K = -198 kJ/mol of formula units
Magnetic moment = 0.00 μB/f.u.
Volume = 113 Å³/f.u.
E above lowest polymorph = 0.000 eV/f.u.

2.
The following is a PBE calculation of Ba2SrSi after structural relaxation, from Alexandria via LeMat-Bulk.

Lattice parameters (Å, degrees): 4.1356 4.1356 10.6167 90.00 90.00 90.00
With the nearest neighbours (Å) after each atom.
Space group P4/mmm (No. 123)
Symmetry-distinct sites (fractional):
Ba  0.0000  0.0000  0.1687 x2  4 Si 3.43, 1 Ba 3.58
Sr  0.5000  0.5000  0.5000 x1  4 Sr 4.14, 8 Ba 4.57
Si  0.5000  0.5000  0.0000 x1  8 Ba 3.43

Properties
Magnetic moment = 0.00 μB/f.u.
Volume = 182 Å³/f.u.
Uncorrected formation energy = -36 kJ/mol of formula units

3.
The following is a PBE calculation of Pr5Nd4Mg after structural relaxation, from Alexandria via LeMat-Bulk.

Lattice parameters (Å, degrees): 3.7198 3.7198 25.0996 90.00 90.00 90.00
With the nearest neighbours (Å) after each atom.
Space group P4/mmm (No. 123)
Symmetry-distinct sites (fractional):
Pr  0.0000  0.0000  0.0000 x1  8 Nd 3.70, 4 Pr 3.72
Pr  0.0000  0.0000  0.2071 x2  8 Nd 3.70, 4 Pr 3.72
Pr  0.0000  0.0000  0.4128 x2  4 Mg 3.42, 4 Nd 3.67, 4 Pr 3.72
Nd  0.5000  0.5000  0.1035 x2  8 Pr 3.70, 4 Nd 3.72
Nd  0.5000  0.5000  0.3109 x2  8 Pr 3.67-3.70, 4 Nd 3.72
Mg  0.5000  0.5000  0.5000 x1  8 Pr 3.42, 4 Mg 3.72

Properties
Formation enthalpy at 0 K = -11 kJ/mol of formula units
Magnetic moment = 0.00 μB/f.u.
Volume = 347 Å³/f.u.

4.
The following is a PBE calculation of Zn2AgSn2 after structural relaxation, from Alexandria via LeMat-Bulk.

Lattice parameters (Å, degrees): 3.6068 3.6068 16.9008 90.00 90.00 90.00
With the nearest neighbours (Å) after each atom.
Space group I4/mmm (No. 139)
Symmetry-distinct sites (fractional):
Zn  0.0000  0.5000  0.2500 x4  4 Zn 2.55
Ag  0.0000  0.0000  0.0000 x2  8 Sn 3.11
Sn  0.0000  0.0000  0.3946 x4  4 Zn 3.04, 4 Ag 3.11

Properties
Formation enthalpy at 0 K = 69 kJ/mol of formula units
Magnetic moment = 0.00 μB/f.u.
Volume = 110 Å³/f.u.
E above lowest polymorph = 0.262 eV/f.u.

5.
The following is a PBE calculation of CeNd4Sm4 after structural relaxation, from Alexandria via LeMat-Bulk.

Lattice parameters (Å, degrees): 10.9107 10.9107 5.1665 90.00 90.00 90.00
With the nearest neighbours (Å) after each atom.
Space group I4/mmm (No. 139)
Symmetry-distinct sites (fractional):
Ce  0.0000  0.0000  0.0000 x2  4 Nd 3.60, 8 Sm 3.62
Nd  0.0000  0.3303  0.0000 x8  1 Ce 3.60, 6 Sm 3.63-3.66, 5 Nd 3.68-3.70
Sm  0.1642  0.1642  0.5000 x8  4 Sm 3.58-3.70, 2 Ce 3.62, 6 Nd 3.63-3.66

Properties
Formation enthalpy at 0 K = 37 kJ/mol of formula units
Magnetic moment = 1.16 μB/f.u.
Volume = 308 Å³/f.u.

6.
The following is a PBE calculation of TaBSb2Pd after structural relaxation, from Alexandria via LeMat-Bulk.

Lattice parameters (Å, degrees): 5.0731 5.0731 5.0548 90.00 90.00 90.00
With the nearest neighbours (Å) after each atom.
Space group P4/mmm (No. 123)
Symmetry-distinct sites (fractional):
Ta  0.0000  0.0000  0.0000 x1  2 Pd 2.53
B  0.5000  0.5000  0.0000 x1  8 Sb 3.58, 4 Ta 3.59
Sb  0.0000  0.5000  0.5000 x2  2 Pd 2.54
Pd  0.0000  0.0000  0.5000 x1  2 Ta 2.53, 4 Sb 2.54

Properties
Magnetic moment = 1.42 μB/f.u.
Volume = 130 Å³/f.u.
Uncorrected formation energy = 855 kJ/mol of formula units

7.
The following is a PBE calculation of Sr2RhBrN after structural relaxation, from Alexandria via LeMat-Bulk.

Lattice parameters (Å, degrees): 5.4869 5.4869 3.8582 90.00 90.00 90.00
With the nearest neighbours (Å) after each atom.
Space group P4/mmm (No. 123)
Symmetry-distinct sites (fractional):
Sr  0.0000  0.5000  0.0000 x2  2 N 2.74
Rh  0.0000  0.0000  0.5000 x1  2 N 1.93
Br  0.5000  0.5000  0.5000 x1  8 Sr 3.35
N  0.0000  0.0000  0.0000 x1  2 Rh 1.93

Properties
Magnetic moment = 0.00 μB/f.u.
Volume = 116 Å³/f.u.
Uncorrected formation energy = -460 kJ/mol of formula units

8.
The following is a PBE calculation of La4Nd10Ho after structural relaxation, from Alexandria via LeMat-Bulk.

Lattice parameters (Å, degrees): 10.0803 10.0803 10.6510 90.00 90.00 90.00
With the nearest neighbours (Å) after each atom.
Space group I4/m (No. 87)
Symmetry-distinct sites (fractional):
La  0.0560  0.6723  0.0000 x8  2 Nd 3.23, 1 Ho 3.35
Nd  0.0000  0.5000  0.2500 x4  4 La 3.23, 4 Nd 3.33
Nd  0.1157  0.7957  0.3379 x16  5 Nd 3.33-3.45
Ho  0.0000  0.0000  0.0000 x2  4 La 3.35

Properties
Formation enthalpy at 0 K = 433 kJ/mol of formula units
Magnetic moment = 0.00 μB/f.u.
Volume = 541 Å³/f.u.